Below is crystalline SrMn2TeO6 at its relaxed geometry, with properties calculated at the GGA+U level.

The structure belongs to space group R3 (No. 146, hexagonal axes); the cell edges are 5.5973, 5.5973 and 14.3604 Å and the angles 90.00°, 90.00° and 120.00°. The distinct sites, in fractional coordinates, are Sr at (0.0000, 0.0000, 0.0000), Mn at (0.0000, 0.0000, 0.2517), Mn at (0.0000, 0.0000, 0.7749), Te at (0.0000, 0.0000, 0.4612), O at (0.0130, 0.4179, 0.5161) and O at (0.0257, 0.5725, 0.0342).

Its total energy is -6.65 eV per atom.